Entry 1:
Computed, not measured: a relaxed structure of Ba2LiBiPd at the PBE-GGA level of DFT.

abc: 6.116 6.116 4.880
angles: 90.00 90.00 90.00
Atoms (fractional coordinates):
Ba 0.000 0.500 0.000
Ba 0.500 0.000 0.000
Li 0.000 0.000 0.500
Bi 0.500 0.500 0.500
Pd 0.000 0.000 0.000

Values from the calculation:
volume	182.6	Å³ per cell
energy relative to the elements	-0.526	eV/atom
space-group type	P4/mmm, No. 123
crystal system	tetragonal

=====

Entry 2:
Computed, not measured: a relaxed structure of BaLi2Bi2Pd2 at the PBE-GGA level of DFT.

abc: 9.438 9.438 9.438
angles: 28.60 28.60 28.60
Atoms (fractional coordinates):
Ba 0.000 0.000 0.000
Li 0.142 0.142 0.142
Li 0.858 0.858 0.858
Bi 0.246 0.246 0.246
Bi 0.754 0.754 0.754
Pd 0.447 0.447 0.447
Pd 0.553 0.553 0.553

Values from the calculation:
volume	170.4	Å³ per cell
energy relative to the elements	-0.583	eV/atom
space-group type	R-3m, No. 166
crystal system	trigonal

=====

Entry 3:
Computed, not measured: a relaxed structure of BaLiBi2Pd at the PBE-GGA level of DFT.

abc: 5.527 5.527 5.017
angles: 90.00 90.00 90.00
Atoms (fractional coordinates):
Ba 0.000 0.000 0.000
Li 0.500 0.500 0.000
Bi 0.000 0.500 0.500
Bi 0.500 0.000 0.500
Pd 0.500 0.500 0.500

Values from the calculation:
volume	153.2	Å³ per cell
energy relative to the elements	-0.462	eV/atom
space-group type	P4/mmm, No. 123
crystal system	tetragonal

=====

Entry 4:
Computed, not measured: a relaxed structure of Ba2LiBi3Pd4 at the PBE-GGA level of DFT.

abc: 4.839 4.839 11.035
angles: 90.00 90.00 90.00
Atoms (fractional coordinates):
Ba 0.000 0.500 0.247
Ba 0.500 0.000 0.753
Li 0.000 0.000 0.500
Bi 0.000 0.500 0.872
Bi 0.500 0.000 0.128
Bi 0.500 0.500 0.500
Pd 0.000 0.000 0.000
Pd 0.000 0.500 0.621
Pd 0.500 0.000 0.379
Pd 0.500 0.500 0.000

Values from the calculation:
volume	258.4	Å³ per cell
energy relative to the elements	-0.631	eV/atom
space-group type	P-4m2, No. 115
crystal system	tetragonal